DFT (PBE) results for crystalline GdZrAl2 at its relaxed geometry.

Calculated values
The formation energy is -11.6 kJ per mole of atoms. As for the calculated volume: 92.0 Å³ per cell. The energy above the most stable polymorph in this dataset comes out at 237.1 meV per atom. The density of states at the Fermi level is 3.753 states/eV/cell.

Cell: 9.354 9.354 9.354 Å, 21.00 21.00 21.00°
Element x y z (fractional)
Gd1 0.000 0.000 0.000
Zr1 0.500 0.500 0.500
Al1 0.245 0.245 0.245
Al2 0.755 0.755 0.755